Arrangement w

Material: AlZnFeRe
Method: DFT, GGA-PBE
State: optimized geometry

Summary:
**SG**: F-43m

Cell lengths 4.2477, 4.2477, 4.2477 Å; angles 60.00, 60.00, 60.00 degrees
Closest atoms and distances in Å follow each position.
Atoms (fractional coordinates):
Al 0.0000 0.0000 0.0000  4 Re 2.60, 4 Fe 2.60
Fe 0.7500 0.7500 0.7500  4 Zn 2.60, 4 Al 2.60
Re 0.2500 0.2500 0.2500  4 Al 2.60, 4 Zn 2.60
Zn 0.5000 0.5000 0.5000  4 Re 2.60, 4 Fe 2.60


Arrangement x

Material: AlZnFeRe
Method: DFT, GGA-PBE
State: optimized geometry

Summary:
**SG**: F-43m

Cell lengths 4.2254, 4.2254, 4.2254 Å; angles 60.00, 60.00, 60.00 degrees
Closest atoms and distances in Å follow each position.
Atoms (fractional coordinates):
Al 0.0000 0.0000 0.0000  4 Zn 2.59, 4 Fe 2.59
Fe 0.7500 0.7500 0.7500  4 Re 2.59, 4 Al 2.59
Re 0.5000 0.5000 0.5000  4 Zn 2.59, 4 Fe 2.59
Zn 0.2500 0.2500 0.2500  4 Re 2.59, 4 Al 2.59


It turns out arrangement x is the most stable, with the second structure 62 meV per atom higher.